DFT (PBE) results for a geometry-optimized LiReCl6 structure.

DOS(E_F)	5.488	states/eV/cell
spin magnetization	2.000	μB/f.u.
calculated density	3.5	g/cm³
uncorrected formation energy	-0.851	eV/atom

Unit cell a=6.688 b=6.688 c=6.688 alpha=56.06 beta=56.06 gamma=56.06
Sites, in units of the cell vectors:
Li (0.000, 0.000, 0.000)
Re (0.500, 0.500, 0.500)
Cl (0.119, 0.417, 0.727)
Cl (0.273, 0.881, 0.583)
Cl (0.417, 0.727, 0.119)
Cl (0.583, 0.273, 0.881)
Cl (0.727, 0.119, 0.417)
Cl (0.881, 0.583, 0.273)

=====

DFT (PBE) results for a geometry-optimized Li2ReCl structure.

DOS(E_F)	2.547	states/eV/cell
spin magnetization	0.000	μB/f.u.
calculated density	6.7	g/cm³
uncorrected formation energy	0.503	eV/atom

Unit cell a=2.809 b=4.392 c=4.756 alpha=90.00 beta=90.00 gamma=90.00
Sites, in units of the cell vectors:
Li (0.000, 0.000, 0.000)
Li (0.500, 0.000, 0.500)
Re (0.000, 0.500, 0.500)
Cl (0.500, 0.500, 0.000)

=====

DFT (PBE) results for a geometry-optimized LiReCl2 structure.

DOS(E_F)	0.140	states/eV/cell
spin magnetization	0.000	μB/f.u.
calculated density	6.1	g/cm³
uncorrected formation energy	-0.016	eV/atom

Unit cell a=7.665 b=7.665 c=3.091 alpha=91.23 beta=91.23 gamma=23.26
Sites, in units of the cell vectors:
Li (0.000, 0.000, 0.000)
Re (0.370, 0.370, 0.486)
Cl (0.545, 0.545, 0.505)
Cl (0.790, 0.790, 0.978)

=====

DFT (PBE) results for a geometry-optimized LiReCl structure.

DOS(E_F)	3.148	states/eV/cell
spin magnetization	1.005	μB/f.u.
calculated density	8.4	g/cm³
uncorrected formation energy	1.159	eV/atom

Unit cell a=4.004 b=4.004 c=4.004 alpha=60.00 beta=60.00 gamma=60.00
Sites, in units of the cell vectors:
Li (0.000, 0.000, 0.000)
Re (0.500, 0.500, 0.500)
Cl (0.250, 0.250, 0.250)

=====

E above lowest polymorph across the listed records, respectively: 24 738 331 854 meV/atom.